DFT (PBE) results for a relaxed Li4CdAg crystal.

Structure (POSCAR):
```
Li4CdAg
1.0
4.6789 0.0000 0.0000
-0.1738 5.7464 0.0000
-0.1119 -2.4381 7.7284
Li Cd Ag
8 2 2
Direct
0.2469 0.2465 0.4168 Li
0.2502 0.7549 0.4103 Li
0.2508 0.4683 0.0733 Li
0.2506 0.9724 0.0822 Li
0.7494 0.0276 0.9178 Li
0.7492 0.5317 0.9267 Li
0.7498 0.2451 0.5897 Li
0.7531 0.7535 0.5832 Li
0.2507 0.6203 0.7440 Cd
0.7493 0.3797 0.2560 Cd
0.2507 0.1200 0.7463 Ag
0.7493 0.8800 0.2537 Ag
```

Output
ρ: 3.964 g/cm3
formation enthalpy at 0 K: -0.186 eV/atom
space-group type: P-1 (2)
total DFT energy (no corrections): -2.089 eV per atom
distance to the lowest polymorph of the same formula: 0.000 eV/atom